# 1
Here is DyBrCl after structural relaxation from the Alexandria database. Energies are from PBE.

abc: 3.4578 3.4578 7.5052
angles: 103.32 103.32 90.00
Fractional positions:
1 Cl 0.2798 0.2798 0.5596
2 Br 0.0491 0.0491 0.0982
3 Dy 0.6711 0.6711 0.3422

Computed properties:
Size of the total moment = 0.000 μB/f.u.
ΔE_f (raw) = -1.70 eV/atom
DOS(E_F) = 1.8 states/eV per cell



# 2
Here is La3Ge7Os2 after structural relaxation from the Alexandria database. Energies are from PBE.

abc: 4.5812 4.9759 11.8665
angles: 105.00 90.00 90.00
Fractional positions:
1 La 0.5000 0.5000 0.0000
2 La 0.5000 0.6974 0.3720
3 La 0.5000 0.3026 0.6280
4 Ge 0.0000 0.1874 0.8016
5 Ge 0.0000 0.7415 0.5851
6 Ge 0.0000 0.0000 0.0000
7 Ge 0.0000 0.8126 0.1984
8 Ge 0.5000 0.1073 0.1763
9 Ge 0.5000 0.8927 0.8237
10 Ge 0.0000 0.2585 0.4149
11 Os 0.0000 0.6677 0.7965
12 Os 0.0000 0.3323 0.2035

Computed properties:
Size of the total moment = 0.000 μB/f.u.
Total DFT energy (no corrections) = -6.200 eV/atom
DOS(E_F) = 3.8 states/eV per cell



# 3
Here is Sr4Tl5Sb6 after structural relaxation from the Alexandria database. Energies are from PBE.

abc: 4.8195 12.4678 17.6266
angles: 90.00 90.00 101.14
Fractional positions:
1 Sr 0.9506 0.9013 0.2561
2 Sr 0.0494 0.0987 0.7561
3 Sr 0.1348 0.2697 0.3137
4 Sr 0.8652 0.7303 0.8137
5 Sr 0.8258 0.6516 0.4502
6 Sr 0.1742 0.3484 0.9502
7 Sr 0.9954 0.9909 0.4978
8 Sr 0.0046 0.0091 0.9978
9 Tl 0.4516 0.9032 0.6803
10 Tl 0.5484 0.0968 0.1803
11 Tl 0.1568 0.3135 0.6290
12 Tl 0.8432 0.6865 0.1290
13 Tl 0.6506 0.3012 0.4654
14 Tl 0.3494 0.6988 0.9654
15 Tl 0.3017 0.6035 0.6367
16 Tl 0.6983 0.3965 0.1367
17 Tl 0.3102 0.6204 0.2562
18 Tl 0.6898 0.3796 0.7562
19 Sb 0.7311 0.4622 0.3051
20 Sb 0.4140 0.8280 0.3878
21 Sb 0.7686 0.5371 0.9856
22 Sb 0.2314 0.4629 0.4856
23 Sb 0.4674 0.9348 0.8597
24 Sb 0.5326 0.0652 0.3597
25 Sb 0.4384 0.8767 0.1076
26 Sb 0.5616 0.1233 0.6076
27 Sb 0.1130 0.2261 0.1242
28 Sb 0.8870 0.7739 0.6242
29 Sb 0.5860 0.1720 0.8878
30 Sb 0.2689 0.5378 0.8051

Computed properties:
Size of the total moment = 0.000 μB/f.u.
ΔE_f (raw) = -0.47 eV/atom
DOS(E_F) = 9.7 states/eV per cell



Number 1: mass density 5.44 g/cm³. Number 2: mass density 8.30 g/cm³. Number 3: mass density 6.72 g/cm³.